# Cr2SiP, optimized geometry, DFT PBE
# - total energy (eV per atom) = -7.753
# - total moment (μB per formula unit) = 0.3
# - energy relative to the lowest polymorph listed for this composition (meV/atom) = 97.5
data_Cr2SiP
_chemical_formula_sum 'Cr4 Si2 P2'
_space_group_name_H-M_alt 'C 1 m 1'
_space_group_IT_number 8
_cell_length_a 8.274
_cell_length_b 2.886
_cell_length_c 4.119
_cell_angle_alpha 90.00
_cell_angle_beta 106.13
_cell_angle_gamma 90.00
loop_
_space_group_symop_operation_xyz
'x,y,z'
'x,-y,z'
'x+1/2,y+1/2,z'
'x+1/2,-y+1/2,z'
loop_
_atom_site_label
_atom_site_type_symbol
_atom_site_fract_x
_atom_site_fract_y
_atom_site_fract_z
_atom_site_occupancy
Cr1 Cr 0.000 0.000 0.000 1
Cr2 Cr 0.232 0.000 0.632 1
Si1 Si 0.243 0.500 0.146 1
P1 P 0.496 0.000 0.494 1